Rb2TlSeBr6 | PBE-GGA | relaxed

ρ = 4099 kg/m³
Offset from the most stable computed form = 21 meV/atom
VASP energy = -2.6444 eV per atom
Formation energy (no corrections) = -862.1 meV/atom
Magnetic moment = 0.000 μB/atom
Space-group type = No. 139

Unit cell a=8.1701 b=8.1701 c=8.0921 alpha=59.68 beta=59.68 gamma=90.00
Atoms (fractional coordinates):
1 Tl 0.0000 0.0000 0.0000
2 Se 0.5000 0.5000 0.0000
3 Br 0.2719 0.2719 0.4561
4 Br 0.7281 0.7281 0.5439
5 Br 0.2546 0.2546 0.0000
6 Br 0.7454 0.7454 0.0000
7 Br 0.7454 0.2546 0.0000
8 Br 0.2546 0.7454 0.0000
9 Rb 0.7500 0.2500 0.5000
10 Rb 0.2500 0.7500 0.5000